12
Lattice="5.5865 0.5769 0.0000 -1.9606 5.2628 0.0000 -1.8129 -2.9199 4.4417" Properties=species:S:1:pos:R:3 comment="Li2CrGaF8 (PBE with a Hubbard U, relaxed)" density_g_cm3=3.52 dos_at_fermi_per_ev_atom=0.00 e_tot_ry_per_atom=-0.3734 pbc="T T T"
Li 2.7932 0.2885 2.2209
Li 1.8129 2.9199 0.0000
Cr 0.0000 0.0000 0.0000
Ga -0.9803 2.6314 2.2209
F 1.2998 -0.4519 1.3427
F 0.3262 2.2441 0.9066
F 0.0537 -1.6322 3.5351
F 2.7920 -1.3784 3.0991
F 3.2996 3.5957 0.9066
F 4.2866 1.0289 1.3427
F 2.7944 1.9553 3.0991
F -0.0537 1.6322 3.5351